Record 1
GGA-PBE V2IrN2, relaxed; D(E_F) = 8.382 states/eV/cell; V = 9.9 A^3/atom; E above lowest polymorph = 436 meV per atom; formation energy without anion corrections = -53 meV per atom; SG = P4/mbm; final energy = -8.803 eV per atom
1.0
-2.9482 4.1655 3.1984
0.9332 -3.1940 5.0200
2.3415 1.3379 0.4160
V Ir N
4 2 4
Cartesian
1.3465 -0.7879 3.9042
0.0696 0.6199 6.5643
-1.0200 3.0972 4.7302
0.2569 1.6894 2.0701
0.0000 0.0000 0.0000
-1.0075 0.4857 4.1092
-0.2298 -1.2613 5.3502
-1.8823 1.4321 5.9897
-1.7852 2.2327 2.8682
-0.1327 -0.4606 2.2287

***

Record 2
GGA-PBE BaSr2HgN, relaxed; D(E_F) = 3.838 states/eV/cell; V = 31.7 A^3/atom; formation energy without anion corrections = -433 meV per atom; SG = P4/mmm; final energy = -3.216 eV per atom
1.0
-1.3473 4.8220 1.5394
-1.3609 -1.8794 4.6960
5.3796 0.8915 1.9158
Sr N Hg Ba
2 1 1 1
Cartesian
-0.6805 -0.9397 2.3480
-0.6737 2.4110 0.7697
0.0000 0.0000 0.0000
1.3357 1.9170 4.0756
2.6898 0.4457 0.9579

***

What did the first record say?
GGA-PBE V2IrN2, relaxed; D(E_F) = 8.382 states/eV/cell; V = 9.9 A^3/atom; E above lowest polymorph = 436 meV per atom; formation energy without anion corrections = -53 meV per atom; SG = P4/mbm; final energy = -8.803 eV per atom
1.0
-2.9482 4.1655 3.1984
0.9332 -3.1940 5.0200
2.3415 1.3379 0.4160
V Ir N
4 2 4
Cartesian
1.3465 -0.7879 3.9042
0.0696 0.6199 6.5643
-1.0200 3.0972 4.7302
0.2569 1.6894 2.0701
0.0000 0.0000 0.0000
-1.0075 0.4857 4.1092
-0.2298 -1.2613 5.3502
-1.8823 1.4321 5.9897
-1.7852 2.2327 2.8682
-0.1327 -0.4606 2.2287